Run i
# Ta2TlCr

A PBEsol-optimized structure of Ta2TlCr (SCAN, the Alexandria database).

Computed properties:
For the calculated density, the calculation gives 14.71 g/cm3. The value obtained for the total magnetization is 0.00 μB/cell. The space group is Cmmm (65). The volume is 69.8 Å³ per cell.

a = 2.924 Å, b = 2.924 Å, c = 8.870 Å
α = 90.00°, β = 90.00°, γ = 113.02°
Sites, in units of the cell vectors:
Ta: 0.000 0.000 0.214
Ta: 0.000 0.000 0.786
Tl: 0.500 0.500 0.500
Cr: 0.500 0.500 0.000



Run ii
# Ta2TlCr

A PBEsol-optimized structure of Ta2TlCr (SCAN, the Alexandria database).

Computed properties:
For the calculated density, the calculation gives 15.25 g/cm3. The value obtained for the total magnetization is 0.00 μB/cell. The space group is Immm (71). The volume is 67.3 Å³ per cell.

a = 5.237 Å, b = 5.237 Å, c = 5.237 Å
α = 142.42°, β = 128.84°, γ = 65.18°
Sites, in units of the cell vectors:
Ta: 0.227 0.227 0.000
Ta: 0.773 0.773 0.000
Tl: 0.500 0.000 0.500
Cr: 0.000 0.500 0.500



Stability ranking, top and bottom: run ii is the most stable and run i is the least stable.



Run i
# YTa2Cr

A PBEsol-optimized structure of YTa2Cr (SCAN, the Alexandria database).

Computed properties:
For the calculated density, the calculation gives 11.22 g/cm3. The value obtained for the total magnetization is 1.01 μB/cell. The space group is P4mm (99). The volume is 74.4 Å³ per cell.

a = 3.210 Å, b = 3.210 Å, c = 7.223 Å
α = 90.00°, β = 90.00°, γ = 90.00°
Sites, in units of the cell vectors:
Y: 0.000 0.000 0.000
Ta: 0.000 0.000 0.457
Ta: 0.500 0.500 0.692
Cr: 0.500 0.500 0.282



Run ii
# YTa2Cr

A PBEsol-optimized structure of YTa2Cr (SCAN, the Alexandria database).

Computed properties:
For the calculated density, the calculation gives 11.96 g/cm3. The value obtained for the total magnetization is 0.00 μB/cell. The space group is Fm-3m (225). The volume is 69.8 Å³ per cell.

a = 4.621 Å, b = 4.621 Å, c = 4.621 Å
α = 60.00°, β = 60.00°, γ = 60.00°
Sites, in units of the cell vectors:
Y: 0.000 0.000 0.000
Ta: 0.250 0.250 0.250
Ta: 0.750 0.750 0.750
Cr: 0.500 0.500 0.500



Stability ranking, top and bottom: run i is the most stable and run ii is the least stable.



Run i
# TaZn2Cr

A PBEsol-optimized structure of TaZn2Cr (SCAN, the Alexandria database).

Computed properties:
For the calculated density, the calculation gives 10.48 g/cm3. The value obtained for the total magnetization is 0.00 μB/cell. The space group is R3m (160). The volume is 57.6 Å³ per cell.

a = 9.140 Å, b = 9.140 Å, c = 9.140 Å
α = 17.10°, β = 17.10°, γ = 17.10°
Sites, in units of the cell vectors:
Ta: 0.000 0.000 0.000
Zn: 0.245 0.245 0.245
Zn: 0.497 0.497 0.497
Cr: 0.753 0.753 0.753



Run ii
# TaZn2Cr

A PBEsol-optimized structure of TaZn2Cr (SCAN, the Alexandria database).

Computed properties:
For the calculated density, the calculation gives 10.67 g/cm3. The value obtained for the total magnetization is 0.14 μB/cell. The space group is F-43m (216). The volume is 56.6 Å³ per cell.

a = 4.310 Å, b = 4.310 Å, c = 4.310 Å
α = 60.00°, β = 60.00°, γ = 60.00°
Sites, in units of the cell vectors:
Ta: 0.000 0.000 0.000
Zn: 0.500 0.500 0.500
Zn: 0.750 0.750 0.750
Cr: 0.250 0.250 0.250



Stability ranking, top and bottom: run ii is the most stable and run i is the least stable.



Run i
# TaZn2Cr

A PBEsol-optimized structure of TaZn2Cr (SCAN, the Alexandria database).

Computed properties:
For the calculated density, the calculation gives 10.62 g/cm3. The value obtained for the total magnetization is 0.00 μB/cell. The space group is Cmm2 (35). The volume is 56.9 Å³ per cell.

a = 2.644 Å, b = 2.644 Å, c = 8.426 Å
α = 90.00°, β = 90.00°, γ = 105.11°
Sites, in units of the cell vectors:
Ta: 0.000 0.000 0.000
Zn: 0.000 0.000 0.515
Zn: 0.500 0.500 0.268
Cr: 0.500 0.500 0.750



Run ii
# TaZn2Cr

A PBEsol-optimized structure of TaZn2Cr (SCAN, the Alexandria database).

Computed properties:
For the calculated density, the calculation gives 10.90 g/cm3. The value obtained for the total magnetization is 0.00 μB/cell. The space group is Pmmm (47). The volume is 55.4 Å³ per cell.

a = 2.608 Å, b = 4.081 Å, c = 5.204 Å
α = 90.00°, β = 90.00°, γ = 90.00°
Sites, in units of the cell vectors:
Ta: 0.000 0.000 0.000
Zn: 0.500 0.500 0.265
Zn: 0.500 0.500 0.735
Cr: 0.000 0.000 0.500



Stability ranking, top and bottom: run ii is the most stable and run i is the least stable.